1.
DFT (PBE) results for a relaxed Y3Ho5Tm4 crystal.

Cell and atoms, written as POSCAR:
```
Y3Ho5Tm4
1.0
-6.682 1.474 1.721
4.637 -9.817 -2.478
-3.303 8.962 8.369
Ho Tm Y
5 4 3
direct
0.333 0.668 0.835
0.667 0.332 0.165
0.500 0.000 0.500
0.251 0.498 0.998
0.749 0.502 0.002
0.084 0.167 0.332
0.916 0.833 0.668
0.167 0.334 0.166
0.833 0.666 0.834
0.000 0.000 0.500
0.414 0.831 0.666
0.586 0.169 0.334
```

Output
The calculation puts the calculated volume at 371 Å³ per cell. As for the energy relative to the elements: 0.0255 eV/atom. The value obtained for the density of states at the Fermi level is 1.37 states/eV per atom. The calculation puts the polymorph energy (0 for the lowest one) at 0 meV per atom. The crystal system is triclinic. The calculation puts the total energy at -4.988 eV/atom.

2.
DFT (PBE) results for a relaxed Pm5Mg2Pb5 crystal.

Cell and atoms, written as POSCAR:
```
Pm5Mg2Pb5
1.0
-4.236 0.734 1.902
-0.056 -6.921 -3.263
5.347 1.505 11.327
Mg Pb Pm
2 5 5
direct
0.089 0.178 0.766
0.911 0.822 0.234
0.727 0.454 0.787
0.273 0.546 0.213
0.000 0.000 0.000
0.123 0.246 0.448
0.877 0.754 0.552
0.650 0.299 0.992
0.350 0.701 0.008
0.658 0.316 0.296
0.342 0.684 0.704
0.500 0.000 0.500
```

Output
The calculation puts the calculated volume at 369 Å³ per cell. As for the energy relative to the elements: -0.3495 eV/atom. The value obtained for the density of states at the Fermi level is 0.69 states/eV per atom. The crystal system is monoclinic. The calculation puts the total energy at -4.140 eV/atom.

3.
DFT (PBE) results for a relaxed ThNpAl crystal.

Cell and atoms, written as POSCAR:
```
ThNpAl
1.0
-3.318 0.545 0.843
-0.896 -5.362 -0.057
3.857 1.580 7.029
Th Al Np
2 2 2
direct
0.094 0.252 0.188
0.906 0.748 0.812
0.423 0.264 0.847
0.577 0.736 0.153
0.240 0.841 0.479
0.760 0.159 0.521
```

Output
The calculation puts the calculated volume at 144 Å³ per cell. As for the energy relative to the elements: -0.0190 eV/atom. The value obtained for the density of states at the Fermi level is 1.80 states/eV per atom. The crystal system is monoclinic. The calculation puts the total energy at -8.053 eV/atom.

4.
DFT (PBE) results for a relaxed Si2RuPt crystal.

Cell and atoms, written as POSCAR:
```
Si2RuPt
1.0
7.880 -0.015 -0.009
7.331 2.891 -0.009
7.331 1.386 2.537
Ru Pt Si
1 1 2
direct
0.741 0.741 0.741
0.508 0.508 0.508
0.250 0.250 0.250
0.002 0.002 0.002
```

Output
The calculation puts the calculated volume at 58 Å³ per cell. The value obtained for the density of states at the Fermi level is 0.89 states/eV per atom. The value obtained for the uncorrected formation energy is -15.1 kJ/mol of atoms. The crystal system is trigonal. The calculation puts the total energy at -6.697 eV/atom.

The highest density of states at the Fermi level belongs to which entry? ThNpAl

Which value of calculated volume does entry 4 give? 58 Å³ per cell

Among the records above, which one has the highest calculated volume? Y3Ho5Tm4

What is the density of states at the Fermi level in the third record? 1.80 states/eV per atom